Density functional theory data (SCAN) for a PBEsol-optimized structure of MgZn2Cu2.

POSCAR file:
```
MgZn2Cu2
1.0
-0.745 -1.520 -2.172
-3.003 -1.828 2.309
-7.685 8.472 -3.291
Cu Mg Zn
4 2 4
Cartesian
-4.187 2.046 0.005 Cu
-5.372 4.752 -3.227 Cu
-0.262 0.289 -0.112 Cu
-9.298 6.509 -3.111 Cu
-7.254 5.427 -1.309 Mg
-2.306 1.371 -1.914 Mg
-2.605 0.303 0.682 Zn
-6.954 6.495 -3.905 Zn
-3.597 3.965 -1.540 Zn
-5.963 2.833 -1.682 Zn
```

Properties
- Total moment: 0.0 μB/f.u.
- Energy of formation from the pure elements: -0.48 eV/f.u.
- Theoretical density: 6.8 g/cm³
- Raw total energy: -125.772 eV for the cell shown